Entry 1:
Tb5Sm2Dy12: relaxed, PBE-GGA.

Properties
Energy relative to the lowest polymorph listed for this composition, meV per atom: 0.0
Crystal system: triclinic
E_tot, eV for the cell shown: -87.5
Total magnetization, Bohr magnetons per cell: 0.00

Cell: 6.1558 9.4022 11.2311 Å, 90.04 100.52 109.02°
Closest atoms and distances in Å follow each position.
Space group P-1 (No. 2)
Asymmetric unit:
Tb1 0.0000 0.0000 0.0000 x1  10 Dy 3.54-3.56, 2 Tb 3.56
Tb2 0.2642 0.8432 0.5265 x2  9 Dy 3.54-3.57, 1 Tb 3.54, 2 Sm 3.56-3.57
Tb3 0.4739 0.3155 0.9474 x2  10 Dy 3.54-3.56, 2 Tb 3.56
Sm1 0.2103 0.4737 0.4204 x2  8 Dy 3.55-3.57, 2 Sm 3.56, 2 Tb 3.56-3.57
Dy1 0.0524 0.3681 0.1044 x2  7 Dy 3.54-3.56, 4 Tb 3.55-3.56, 1 Sm 3.55
Dy2 0.1056 0.7377 0.2098 x2  7 Dy 3.54-3.56, 4 Tb 3.54-3.56, 1 Sm 3.56
Dy3 0.1580 0.1048 0.3151 x2  7 Dy 3.54-3.56, 4 Tb 3.54-3.56, 1 Sm 3.56
Dy4 0.3145 0.2093 0.6322 x2  4 Tb 3.54-3.56, 6 Dy 3.54-3.57, 2 Sm 3.57
Dy5 0.3688 0.5791 0.7382 x2  3 Tb 3.54-3.57, 6 Dy 3.55-3.57, 3 Sm 3.56-3.57
Dy6 0.4206 0.9475 0.8424 x2  7 Dy 3.54-3.56, 5 Tb 3.55-3.56



Entry 2:
Tb5SmDy: relaxed, PBE-GGA.

Properties
Energy relative to the lowest polymorph listed for this composition, meV per atom: 0.0
Crystal system: monoclinic
E_tot, eV for the cell shown: -124.7
Total magnetization, Bohr magnetons per cell: 0.00

Cell: 11.7523 6.7576 12.2450 Å, 90.00 110.65 90.00°
Closest atoms and distances in Å follow each position.
Space group C2/c (No. 15)
Asymmetric unit:
Tb1 0.0000 0.0875 0.2500 x4  1 Sm 2.98, 2 Tb 2.99
Tb2 0.0792 0.2348 0.0008 x8  1 Sm 3.29, 4 Tb 3.30-3.68
Tb3 0.2186 0.1333 0.7458 x8  2 Tb 2.99-3.30, 1 Dy 3.26
Sm1 0.0000 0.4712 0.7500 x4  3 Tb 2.98-3.29
Dy1 0.2500 0.2500 0.5000 x4  4 Tb 3.26-3.59